(1)
{"formula": "Rb4GeP4Se12", "functional": "PBE", "state": "relaxed", "cell": [[-3.309, 5.524, 3.836], [-13.382, -6.223, -2.584], [2.130, -13.287, 20.968]], "species": ["Rb", "Rb", "Rb", "Rb", "Rb", "Rb", "Rb", "Rb", "Rb", "Rb", "Rb", "Rb", "Rb", "Rb", "Rb", "Rb", "Ge", "Ge", "Ge", "Ge", "P", "P", "P", "P", "P", "P", "P", "P", "P", "P", "P", "P", "P", "P", "P", "P", "Se", "Se", "Se", "Se", "Se", "Se", "Se", "Se", "Se", "Se", "Se", "Se", "Se", "Se", "Se", "Se", "Se", "Se", "Se", "Se", "Se", "Se", "Se", "Se", "Se", "Se", "Se", "Se", "Se", "Se", "Se", "Se", "Se", "Se", "Se", "Se", "Se", "Se", "Se", "Se", "Se", "Se", "Se", "Se", "Se", "Se", "Se", "Se"], "fractional_positions": [[0.707, 0.538, 0.939], [0.293, 0.462, 0.439], [0.707, 0.962, 0.439], [0.293, 0.038, 0.939], [0.813, 0.874, 0.839], [0.187, 0.126, 0.339], [0.813, 0.626, 0.339], [0.187, 0.374, 0.839], [0.816, 0.178, 0.715], [0.184, 0.822, 0.215], [0.816, 0.322, 0.215], [0.184, 0.678, 0.715], [0.782, 0.335, 0.557], [0.218, 0.665, 0.057], [0.782, 0.165, 0.057], [0.218, 0.835, 0.557], [0.656, 0.577, 0.632], [0.344, 0.423, 0.132], [0.656, 0.923, 0.132], [0.344, 0.077, 0.632], [0.691, 0.594, 0.779], [0.309, 0.406, 0.279], [0.691, 0.906, 0.279], [0.309, 0.094, 0.779], [0.250, 0.954, 0.743], [0.750, 0.046, 0.243], [0.250, 0.546, 0.243], [0.750, 0.454, 0.743], [0.864, 0.601, 0.502], [0.136, 0.399, 0.002], [0.864, 0.899, 0.002], [0.136, 0.101, 0.502], [0.641, 0.704, 0.517], [0.359, 0.296, 0.017], [0.641, 0.796, 0.017], [0.359, 0.204, 0.517], [0.437, 0.592, 0.819], [0.563, 0.408, 0.319], [0.437, 0.908, 0.319], [0.563, 0.092, 0.819], [0.921, 0.633, 0.826], [0.079, 0.367, 0.326], [0.921, 0.867, 0.326], [0.079, 0.133, 0.826], [0.692, 0.686, 0.702], [0.308, 0.314, 0.202], [0.692, 0.814, 0.202], [0.308, 0.186, 0.702], [0.315, 0.856, 0.803], [0.685, 0.144, 0.303], [0.315, 0.644, 0.303], [0.685, 0.356, 0.803], [0.987, 0.948, 0.708], [0.013, 0.052, 0.208], [0.987, 0.552, 0.208], [0.013, 0.448, 0.708], [0.463, 0.946, 0.675], [0.537, 0.054, 0.175], [0.463, 0.554, 0.175], [0.537, 0.446, 0.675], [0.942, 0.556, 0.589], [0.058, 0.444, 0.089], [0.942, 0.944, 0.089], [0.058, 0.056, 0.589], [0.765, 0.010, 0.955], [0.235, 0.990, 0.455], [0.765, 0.490, 0.455], [0.235, 0.510, 0.955], [0.907, 0.330, 0.968], [0.093, 0.670, 0.468], [0.907, 0.170, 0.468], [0.093, 0.830, 0.968], [0.438, 0.613, 0.564], [0.562, 0.387, 0.064], [0.438, 0.887, 0.064], [0.562, 0.113, 0.564], [0.523, 0.759, 0.942], [0.477, 0.241, 0.442], [0.523, 0.741, 0.442], [0.477, 0.259, 0.942], [0.732, 0.808, 0.571], [0.268, 0.192, 0.071], [0.732, 0.692, 0.071], [0.268, 0.308, 0.571]], "vol_a3_per_cell": 2797.9, "crystal_system": "orthorhombic", "formation_energy_uncorrected_ev_per_atom": -0.55}

***

(2)
{"formula": "Rb3GePSe7", "functional": "PBE", "state": "relaxed", "cell": [[-0.089, -6.038, -4.303], [3.421, -2.220, 9.350], [-12.167, -1.044, 1.366]], "species": ["Rb", "Rb", "Rb", "Rb", "Rb", "Rb", "Ge", "Ge", "P", "P", "Se", "Se", "Se", "Se", "Se", "Se", "Se", "Se", "Se", "Se", "Se", "Se", "Se", "Se"], "fractional_positions": [[0.955, 0.491, 0.216], [0.045, 0.509, 0.784], [0.325, 0.132, 0.606], [0.675, 0.868, 0.394], [0.384, 0.185, 0.997], [0.616, 0.815, 0.003], [0.599, 0.564, 0.627], [0.401, 0.436, 0.373], [0.769, 0.069, 0.776], [0.231, 0.931, 0.224], [0.894, 0.219, 0.938], [0.106, 0.781, 0.062], [0.953, 0.933, 0.799], [0.047, 0.067, 0.201], [0.913, 0.757, 0.630], [0.087, 0.243, 0.370], [0.651, 0.393, 0.469], [0.349, 0.607, 0.531], [0.526, 0.491, 0.793], [0.474, 0.509, 0.207], [0.538, 0.064, 0.226], [0.462, 0.936, 0.774], [0.844, 0.160, 0.629], [0.156, 0.840, 0.371]], "vol_a3_per_cell": 846.1, "crystal_system": "triclinic", "formation_energy_uncorrected_ev_per_atom": -0.69}

***

(3)
{"formula": "RbTlGe2P", "functional": "PBE", "state": "relaxed", "cell": [[-0.137, -2.969, 4.006], [-2.714, -4.357, -3.322], [4.468, -1.852, -1.220]], "species": ["P", "Tl", "Ge", "Ge", "Rb"], "fractional_positions": [[0.000, 0.000, 0.000], [0.500, 0.500, 0.500], [0.000, 0.000, 0.500], [0.500, 0.000, 0.000], [0.000, 0.500, 0.000]], "vol_a3_per_cell": 152.1, "crystal_system": "tetragonal", "formation_energy_ev_per_atom": 0.409}

***

(4)
{"formula": "RbZn2GeP", "functional": "PBE", "state": "relaxed", "cell": [[-4.356, -2.436, 1.046], [1.764, -4.162, -2.345], [1.977, -1.644, 4.404]], "species": ["P", "Ge", "Zn", "Zn", "Rb"], "fractional_positions": [[0.000, 0.000, 0.000], [0.000, 0.500, 0.000], [0.000, 0.000, 0.500], [0.500, 0.000, 0.000], [0.500, 0.500, 0.500]], "vol_a3_per_cell": 132.4, "crystal_system": "tetragonal", "formation_energy_ev_per_atom": 0.333}